Entry 1:
# In2NiW

A relaxed In2NiW crystal (GGA-PBE, Alexandria via LeMat-Bulk).

Cell lengths 5.4895, 5.4895, 4.9943 Å; angles 111.50, 111.50, 30.64 degrees
Closest atoms and distances in Å follow each position.
Atoms (fractional coordinates):
In 0.0000 0.0000 0.0000  3 Ni 2.87-2.92, 4 W 2.88-2.97, 3 In 2.90-3.04
In 0.2144 0.2144 0.6129  4 Ni 2.79-3.04, 3 W 2.87-2.96, 3 In 2.90-3.04
Ni 0.7544 0.7544 0.1169  2 W 2.62, 5 In 2.79-2.92, 2 Ni 2.90
W 0.4537 0.4537 0.4737  2 Ni 2.62, 3 In 2.87-2.88, 2 W 2.90

Computed properties:
spin magnetization: 0.000 μB/atom
excess energy over the best structure of this formula in the dataset: 0.206 eV/f.u.
DOS at the Fermi energy: 1.93 states/eV/f.u.
formation energy from the elements: 0.337 eV/atom

***

Entry 2:
# Sm2PtPb

A relaxed Sm2PtPb crystal (GGA-PBE, Alexandria via LeMat-Bulk).

Cell lengths 3.6069, 3.6069, 8.0802 Å; angles 90.00, 90.00, 90.00 degrees
Closest atoms and distances in Å follow each position.
Atoms (fractional coordinates):
Sm 0.0000 0.0000 0.2122  4 Pt 3.07, 1 Sm 3.43
Sm 0.0000 0.0000 0.7878  4 Pt 3.07, 1 Sm 3.43
Pt 0.5000 0.5000 0.0000  8 Sm 3.07
Pb 0.5000 0.5000 0.5000  8 Sm 3.45, 4 Pb 3.61

Computed properties:
spin magnetization: 0.000 μB/atom
DOS at the Fermi energy: 2.79 states/eV/f.u.
formation energy from the elements: -0.808 eV/atom

***

Entry 3:
# ThPbAu

A relaxed ThPbAu crystal (GGA-PBE, Alexandria via LeMat-Bulk).

Cell lengths 6.4319, 6.4319, 6.4319 Å; angles 146.42, 146.42, 48.22 degrees
Closest atoms and distances in Å follow each position.
Atoms (fractional coordinates):
Th 0.0000 0.0000 0.0000  4 Au 3.10
Pb 0.7014 0.7014 0.0000  4 Au 3.22, 5 Th 3.51-3.53
Au 0.3595 0.3595 0.0000  4 Th 3.10, 4 Pb 3.22

Computed properties:
spin magnetization: 0.000 μB/atom
DOS at the Fermi energy: 2.11 states/eV/f.u.
formation energy from the elements: -0.366 eV/atom

***

Entry 4:
# Th4GaAsP2

A relaxed Th4GaAsP2 crystal (GGA-PBE, Alexandria via LeMat-Bulk).

Cell lengths 7.3095, 4.2041, 7.3122 Å; angles 90.00, 109.31, 90.00 degrees
Closest atoms and distances in Å follow each position.
Atoms (fractional coordinates):
Th 0.2391 0.0000 0.2452  3 P 2.94-2.95, 1 As 3.02, 2 Ga 3.03
Th 0.2399 0.5000 0.7466  3 P 2.94, 1 Ga 3.02, 2 As 3.02
Th 0.7601 0.5000 0.2534  3 P 2.94, 1 Ga 3.02, 2 As 3.02
Th 0.7609 0.0000 0.7548  3 P 2.94-2.95, 1 As 3.02, 2 Ga 3.03
Ga 0.5000 0.5000 0.5000  6 Th 3.02-3.03
As 0.5000 0.0000 0.0000  6 Th 3.02
P 0.0000 0.0000 0.5000  6 Th 2.94-2.95
P 0.0000 0.5000 0.0000  6 Th 2.94

Computed properties:
spin magnetization: 0.000 μB/atom
DOS at the Fermi energy: 5.94 states/eV/f.u.
formation energy from the elements: -1.186 eV/atom

***

Entry 5:
# Ho2Tm3Cu2

A relaxed Ho2Tm3Cu2 crystal (GGA-PBE, Alexandria via LeMat-Bulk).

Cell lengths 6.7388, 6.7388, 8.3239 Å; angles 108.56, 108.56, 30.81 degrees
Closest atoms and distances in Å follow each position.
Atoms (fractional coordinates):
Ho 0.1275 0.1275 0.4644  2 Cu 2.81-3.04
Ho 0.8725 0.8725 0.5356  2 Cu 2.81-3.04
Tm 0.2505 0.2505 0.1671  2 Cu 2.81
Tm 0.5000 0.5000 0.0000  4 Cu 2.86
Tm 0.7495 0.7495 0.8329  2 Cu 2.81
Cu 0.0764 0.0764 0.7958  4 Tm 2.81-2.86, 2 Ho 2.81-3.04
Cu 0.9236 0.9236 0.2042  4 Tm 2.81-2.86, 2 Ho 2.81-3.04

Computed properties:
spin magnetization: 0.000 μB/atom
excess energy over the best structure of this formula in the dataset: 0.904 eV/f.u.
DOS at the Fermi energy: 9.58 states/eV/f.u.
formation energy from the elements: -0.005 eV/atom

***

Entry 6:
# HgWSe2

A relaxed HgWSe2 crystal (GGA-PBE, Alexandria via LeMat-Bulk).

Cell lengths 3.0422, 3.0422, 9.1315 Å; angles 90.00, 90.00, 90.00 degrees
Closest atoms and distances in Å follow each position.
Atoms (fractional coordinates):
Hg 0.0000 0.0000 0.0000  4 W 2.99, 4 Hg 3.04, 4 Se 3.33
W 0.5000 0.5000 0.7722  4 Se 2.60
Se 0.0000 0.0000 0.6118  4 W 2.60
Se 0.5000 0.5000 0.2781  4 Se 3.04, 4 Hg 3.33

Computed properties:
spin magnetization: 0.000 μB/atom
DOS at the Fermi energy: 4.62 states/eV/f.u.
energy relative to the elements, uncorrected: 331 meV/atom

***

Entry 7:
# NbPN2F

A relaxed NbPN2F crystal (GGA-PBE, Alexandria via LeMat-Bulk).

Cell lengths 4.1194, 4.1194, 4.0185 Å; angles 90.00, 90.00, 90.00 degrees
Closest atoms and distances in Å follow each position.
Atoms (fractional coordinates):
Nb 0.0000 0.0000 0.0000  2 F 2.01, 4 N 2.06
P 0.5000 0.5000 0.5000  8 N 2.88, 4 F 2.91
N 0.0000 0.5000 0.0000  2 Nb 2.06
N 0.5000 0.0000 0.0000  2 Nb 2.06
F 0.0000 0.0000 0.5000  2 Nb 2.01

Computed properties:
spin magnetization: 0.117 μB/atom
excess energy over the best structure of this formula in the dataset: 0.000 eV/f.u.
DOS at the Fermi energy: 2.20 states/eV/f.u.
energy relative to the elements, uncorrected: 127 meV/atom

***

Entry 8:
# KCaCuI4

A relaxed KCaCuI4 crystal (GGA-PBE, Alexandria via LeMat-Bulk).

Cell lengths 7.2441, 8.1268, 9.5798 Å; angles 90.00, 108.59, 90.00 degrees
Closest atoms and distances in Å follow each position.
Atoms (fractional coordinates):
K 0.2169 0.2500 0.0473  6 I 3.46-3.78
K 0.7831 0.7500 0.9527  6 I 3.46-3.78
Ca 0.2262 0.2500 0.5591  6 I 3.08-3.33
Ca 0.7738 0.7500 0.4410  6 I 3.08-3.33
Cu 0.2247 0.7500 0.3267  4 I 2.61-2.64
Cu 0.7753 0.2500 0.6733  4 I 2.61-2.64
I 0.0138 0.5044 0.7173  1 Cu 2.64
I 0.0138 0.9956 0.7173  1 Cu 2.64
I 0.4249 0.7500 0.1415  1 Cu 2.62
I 0.4617 0.7500 0.5968  1 Cu 2.61
I 0.5383 0.2500 0.4032  1 Cu 2.61
I 0.5751 0.2500 0.8585  1 Cu 2.62
I 0.9862 0.0044 0.2827  1 Cu 2.64
I 0.9862 0.4956 0.2827  1 Cu 2.64

Computed properties:
spin magnetization: 0.000 μB/atom
DOS at the Fermi energy: 0.00 states/eV/f.u.
energy relative to the elements, uncorrected: -1113 meV/atom

***

Entry 9:
# SmSi3Pt

A relaxed SmSi3Pt crystal (GGA-PBE, Alexandria via LeMat-Bulk).

Cell lengths 11.0167, 11.0167, 4.1619 Å; angles 90.00, 90.00, 158.36 degrees
Closest atoms and distances in Å follow each position.
Atoms (fractional coordinates):
Sm 0.1705 0.8295 0.0000  10 Si 3.13-3.27, 4 Pt 3.21
Sm 0.8295 0.1705 0.0000  10 Si 3.13-3.27, 4 Pt 3.21
Si 0.0538 0.9462 0.5000  1 Si 2.33, 2 Pt 2.40
Si 0.2787 0.7213 0.5000  1 Pt 2.40, 2 Si 2.41
Si 0.4459 0.5541 0.0000  1 Si 2.34, 2 Pt 2.41
Si 0.5541 0.4459 0.0000  1 Si 2.34, 2 Pt 2.41
Si 0.7213 0.2787 0.5000  1 Pt 2.40, 2 Si 2.41
Si 0.9462 0.0538 0.5000  1 Si 2.33, 2 Pt 2.40
Pt 0.3895 0.6105 0.5000  5 Si 2.40-2.41
Pt 0.6105 0.3895 0.5000  5 Si 2.40-2.41

Computed properties:
spin magnetization: 0.000 μB/atom
excess energy over the best structure of this formula in the dataset: 0.057 eV/f.u.
DOS at the Fermi energy: 1.81 states/eV/f.u.
energy relative to the elements, uncorrected: -762 meV/atom

***

Entry 10:
# KTeP

A relaxed KTeP crystal (GGA-PBE, Alexandria via LeMat-Bulk).

Cell lengths 7.1266, 4.5266, 12.4078 Å; angles 90.00, 90.00, 90.00 degrees
Closest atoms and distances in Å follow each position.
Atoms (fractional coordinates):
K 0.0530 0.2500 0.1978  4 P 3.42-3.49, 3 Te 3.68-3.80, 2 K 3.79
K 0.4470 0.7500 0.6978  4 P 3.42-3.49, 3 Te 3.68-3.80, 2 K 3.79
K 0.5530 0.2500 0.3022  4 P 3.42-3.49, 3 Te 3.68-3.80, 2 K 3.79
K 0.9470 0.7500 0.8022  4 P 3.42-3.49, 3 Te 3.68-3.80, 2 K 3.79
Te 0.1963 0.7500 0.4390  1 P 2.33
Te 0.3037 0.2500 0.9390  1 P 2.33
Te 0.6963 0.7500 0.0610  1 P 2.33
Te 0.8037 0.2500 0.5610  1 P 2.33
P 0.1188 0.2500 0.6125  1 Te 2.33
P 0.3812 0.7500 0.1125  1 Te 2.33
P 0.6188 0.2500 0.8875  1 Te 2.33
P 0.8812 0.7500 0.3875  1 Te 2.33

Computed properties:
spin magnetization: 0.000 μB/atom
excess energy over the best structure of this formula in the dataset: 0.673 eV/f.u.
energy relative to the elements, uncorrected: -230 meV/atom

***

Entry 11:
# NpSi2RuPt

A relaxed NpSi2RuPt crystal (GGA-PBE, Alexandria via LeMat-Bulk).

Cell lengths 5.8507, 5.8507, 5.8507 Å; angles 139.50, 139.50, 58.62 degrees
Closest atoms and distances in Å follow each position.
Atoms (fractional coordinates):
Np 0.0000 0.0000 0.0000  8 Si 3.11, 4 Pt 3.26, 4 Ru 3.26
Si 0.3817 0.3817 0.0000  1 Si 2.41, 2 Ru 2.43, 2 Pt 2.43
Si 0.6183 0.6183 0.0000  1 Si 2.41, 2 Ru 2.43, 2 Pt 2.43
Ru 0.7500 0.2500 0.5000  4 Si 2.43
Pt 0.2500 0.7500 0.5000  4 Si 2.43

Computed properties:
spin magnetization: 0.796 μB/atom
DOS at the Fermi energy: 11.52 states/eV/f.u.
energy relative to the elements, uncorrected: -689 meV/atom

***

Entry 12:
# Tb2UBeRh6

A relaxed Tb2UBeRh6 crystal (GGA-PBE, Alexandria via LeMat-Bulk).

Cell lengths 6.4321, 6.4321, 6.4321 Å; angles 60.00, 60.00, 60.00 degrees
Closest atoms and distances in Å follow each position.
Atoms (fractional coordinates):
Tb 0.2500 0.2500 0.2500  12 Rh 3.22
Tb 0.7500 0.7500 0.7500  12 Rh 3.22
U 0.0000 0.0000 0.0000  6 Rh 2.43
Be 0.5000 0.5000 0.5000  6 Rh 2.12
Rh 0.2671 0.2671 0.7329  1 Be 2.12
Rh 0.2671 0.7329 0.2671  1 Be 2.12
Rh 0.2671 0.7329 0.7329  1 Be 2.12
Rh 0.7329 0.2671 0.2671  1 Be 2.12
Rh 0.7329 0.2671 0.7329  1 Be 2.12
Rh 0.7329 0.7329 0.2671  1 Be 2.12

Computed properties:
spin magnetization: 0.000 μB/atom
DOS at the Fermi energy: 4.69 states/eV/f.u.
formation energy from the elements: -0.406 eV/atom

***

> The highest spin magnetization belongs to which entry?

NpSi2RuPt

***

> Which formula does entry 11 have?

NpSi2RuPt

***

> Look up the spin magnetization of the eighth one.

0.000 μB/atom